(1)
This record from Alexandria describes a geometry-optimized BaH2I structure. The functional is PBE.

Cell lengths 5.0145, 5.0145, 16.2487 Å; angles 90.00, 90.00, 90.00 degrees
Space group I-42d (No. 122)
Asymmetric unit:
Ba1 0.0000 0.0000 0.0000 x4
H1 0.1889 0.2500 0.1250 x8
I1 0.0000 0.0000 0.5000 x4

E above lowest polymorph, eV/atom: 0.7110
VASP energy, eV for the cell shown: -43.9
D(E_F), states/eV/f.u.: 2.540
Magnetization, μB per formula unit: 0.0

***

(2)
This record from Alexandria describes a geometry-optimized BaHI2 structure. The functional is PBE.

Cell lengths 12.9542, 4.7765, 10.1812 Å; angles 90.00, 113.56, 90.00 degrees
Space group Cm (No. 8)
Asymmetric unit:
Ba1 0.0000 0.0000 0.0000 x2
Ba2 0.0703 0.5000 0.6510 x2
H1 0.0371 0.0000 0.7546 x2
H2 0.3048 0.5000 0.2766 x2
I1 0.0184 0.5000 0.2631 x2
I2 0.2119 0.5000 0.0237 x2
I3 0.3207 0.0000 0.7535 x2
I4 0.3576 0.5000 0.4576 x2

VASP energy, eV for the cell shown: -50.5
D(E_F), states/eV/f.u.: 0.000
Magnetization, μB per formula unit: 0.0